Record 1
AlHg2F2: relaxed, PBE.

Cell: 7.8351 7.8351 2.9006 Å, 90.00 90.00 90.00°
Space group P4/mbm (No. 127)
Asymmetric unit:
Al 0.0000 0.0000 0.0000 x2
Hg 0.1507 0.3493 0.5000 x4
F 0.1389 0.6389 0.0000 x4

Properties
Relative energy among the computed polymorphs in eV/atom: 0.000
Formation energy without anion corrections in meV per atom: -634.0
VASP energy in eV per atom: -2.252

---

Record 2
Sm15TmSc4: relaxed, PBE.

Cell: 5.0167 5.0167 25.0026 Å, 90.00 90.00 90.00°
Space group P4/mmm (No. 123)
Asymmetric unit:
Sm 0.0000 0.0000 0.0000 x1
Sm 0.0000 0.0000 0.2019 x2
Sm 0.0000 0.0000 0.4006 x2
Sm 0.0000 0.5000 0.1025 x4
Sm 0.0000 0.5000 0.3012 x4
Sm 0.0000 0.5000 0.5000 x2
Tm 0.5000 0.5000 0.0000 x1
Sc 0.5000 0.5000 0.2017 x2
Sc 0.5000 0.5000 0.4005 x2

Properties
Formation enthalpy at 0 K in kJ/mol of formula units: 59
VASP energy in eV per atom: -4.999